(1)
# Pm6Sb3PbSe2, relaxed, DFT GGA-PBE
data_Pm6Sb3PbSe2
_chemical_formula_sum 'Pm12 Sb6 Pb2 Se4'
_cell_length_a 19.197
_cell_length_b 4.413
_cell_length_c 8.839
_cell_angle_alpha 90.00
_cell_angle_beta 103.08
_cell_angle_gamma 90.00
_space_group_name_H-M_alt 'C 1 2/m 1'
_space_group_IT_number 12
_space_group_name_Hall '-C 2y'
loop_
_atom_site_label
_atom_site_fract_x
_atom_site_fract_y
_atom_site_fract_z
Pm1 0.004 0.000 0.254
Pm2 0.168 0.500 0.089
Pm3 0.168 0.500 0.580
Sb1 0.000 0.500 0.500
Sb2 0.166 0.000 0.831
Pb1 0.000 0.500 0.000
Se1 0.169 0.000 0.337
# - Total magnetization: 0.00 μB/f.u.
# - Raw total energy: -5.59 eV/atom
# - Crystal system: monoclinic

---

(2)
# Pm4SbPb2Se, relaxed, DFT GGA-PBE
data_Pm4SbPb2Se
_chemical_formula_sum 'Pm4 Sb1 Pb2 Se1'
_cell_length_a 7.558
_cell_length_b 4.336
_cell_length_c 8.010
_cell_angle_alpha 90.00
_cell_angle_beta 108.24
_cell_angle_gamma 90.00
_space_group_name_H-M_alt 'P 1 2/m 1'
_space_group_IT_number 10
_space_group_name_Hall '-P 2y'
loop_
_atom_site_label
_atom_site_fract_x
_atom_site_fract_y
_atom_site_fract_z
Pm1 0.240 0.000 0.235
Pm2 0.249 0.500 0.762
Sb1 0.500 0.000 0.000
Pb1 0.000 0.000 0.500
Pb2 0.500 0.500 0.500
Se1 0.000 0.500 0.000
# - Total magnetization: 0.00 μB/f.u.
# - Raw total energy: -5.25 eV/atom
# - Crystal system: monoclinic

---

(3)
# PmSmSbPb, relaxed, DFT GGA-PBE
data_PmSmSbPb
_chemical_formula_sum 'Pm4 Sm4 Sb4 Pb4'
_cell_length_a 7.797
_cell_length_b 7.797
_cell_length_c 7.797
_cell_angle_alpha 90.00
_cell_angle_beta 90.00
_cell_angle_gamma 90.00
_space_group_name_H-M_alt 'F -4 3 m'
_space_group_IT_number 216
_space_group_name_Hall 'F -4 2 3'
loop_
_atom_site_label
_atom_site_fract_x
_atom_site_fract_y
_atom_site_fract_z
Pm1 0.000 0.000 0.000
Sm1 0.000 0.000 0.500
Sb1 0.250 0.250 0.250
Pb1 0.250 0.250 0.750
# - Total magnetization: 0.00 μB/f.u.
# - Raw total energy: -4.92 eV/atom
# - Crystal system: cubic

---

(4)
# PmSnSbPb, relaxed, DFT GGA-PBE
data_PmSnSbPb
_chemical_formula_sum 'Pm4 Sn4 Sb4 Pb4'
_cell_length_a 7.789
_cell_length_b 7.789
_cell_length_c 7.789
_cell_angle_alpha 90.00
_cell_angle_beta 90.00
_cell_angle_gamma 90.00
_space_group_name_H-M_alt 'F -4 3 m'
_space_group_IT_number 216
_space_group_name_Hall 'F -4 2 3'
loop_
_atom_site_label
_atom_site_fract_x
_atom_site_fract_y
_atom_site_fract_z
Pm1 0.000 0.000 0.000
Sn1 0.250 0.250 0.250
Sb1 0.250 0.250 0.750
Pb1 0.000 0.000 0.500
# - Total magnetization: 0.00 μB/f.u.
# - Raw total energy: -4.44 eV/atom
# - Crystal system: cubic

---

(5)
# TbPmSbPb, relaxed, DFT GGA-PBE
data_TbPmSbPb
_chemical_formula_sum 'Tb4 Pm4 Sb4 Pb4'
_cell_length_a 7.749
_cell_length_b 7.749
_cell_length_c 7.749
_cell_angle_alpha 90.00
_cell_angle_beta 90.00
_cell_angle_gamma 90.00
_space_group_name_H-M_alt 'F -4 3 m'
_space_group_IT_number 216
_space_group_name_Hall 'F -4 2 3'
loop_
_atom_site_label
_atom_site_fract_x
_atom_site_fract_y
_atom_site_fract_z
Tb1 0.000 0.000 0.000
Pm1 0.000 0.000 0.500
Sb1 0.250 0.250 0.750
Pb1 0.250 0.250 0.250
# - Total magnetization: 0.00 μB/f.u.
# - Raw total energy: -4.88 eV/atom
# - Crystal system: cubic

---

(6)
# Pm6Sb2Te3Pb, relaxed, DFT GGA-PBE
data_Pm6Sb2Te3Pb
_chemical_formula_sum 'Pm12 Sb4 Te6 Pb2'
_cell_length_a 19.614
_cell_length_b 4.503
_cell_length_c 8.993
_cell_angle_alpha 90.00
_cell_angle_beta 103.30
_cell_angle_gamma 90.00
_space_group_name_H-M_alt 'C 1 2/m 1'
_space_group_IT_number 12
_space_group_name_Hall '-C 2y'
loop_
_atom_site_label
_atom_site_fract_x
_atom_site_fract_y
_atom_site_fract_z
Pm1 0.002 0.000 0.246
Pm2 0.165 0.500 0.088
Pm3 0.169 0.500 0.578
Sb1 0.167 0.000 0.334
Te1 0.000 0.500 0.500
Te2 0.167 0.000 0.833
Pb1 0.000 0.500 0.000
# - Total magnetization: 0.00 μB/f.u.
# - Raw total energy: -5.40 eV/atom
# - Crystal system: monoclinic